Computed, not measured: Ba2ZnNi3F12 after structural relaxation at the PBE+U level of DFT.

Output
Calculated volume ... 14.511 Å³/atom
Raw total energy ... -4.622 eV per atom

```
data_Ba2ZnNi3F12
_space_group_name_H-M_alt 'R -3 m'
_space_group_IT_number 166
_space_group_name_Hall '-R 3 2"'
_cell_length_a 7.1828
_cell_length_b 7.1828
_cell_length_c 17.5374
_cell_angle_alpha 90.00
_cell_angle_beta 90.00
_cell_angle_gamma 120.00
loop_
_atom_site_label
_atom_site_fract_x
_atom_site_fract_y
_atom_site_fract_z
Ba1 0.0000 0.0000 0.1228
Zn1 0.0000 0.0000 0.5000
Ni1 0.0000 0.5000 0.0000
F1 0.0378 0.5189 0.1144
F2 0.0471 0.5236 0.3600
```